Entry 1:
A PBEsol-optimized structure of Rb2BaNaTa. Source: the Alexandria database, functional meta-GGA SCAN.

Unit cell a=6.2412 b=6.2412 c=6.1758 alpha=90.00 beta=90.00 gamma=90.00
Last column: nearest neighbours and their distance in Å.
Space group P4/mmm (No. 123)
Asymmetric unit:
Rb: 0.0000 0.5000 0.0000 [2 per cell]  2 Na 3.12
Ba: 0.0000 0.0000 0.5000 [1 per cell]  8 Rb 4.39, 4 Ta 4.41
Na: 0.5000 0.5000 0.0000 [1 per cell]  2 Ta 3.09, 4 Rb 3.12
Ta: 0.5000 0.5000 0.5000 [1 per cell]  2 Na 3.09

Entry 2:
A PBEsol-optimized structure of BaNaRe2. Source: the Alexandria database, functional meta-GGA SCAN.

Unit cell a=6.7997 b=6.7997 c=6.7997 alpha=90.00 beta=90.00 gamma=90.00
Last column: nearest neighbours and their distance in Å.
Space group Fm-3m (No. 225)
Asymmetric unit:
Ba: 0.0000 0.0000 0.0000 [4 per cell]  8 Re 2.94
Na: 0.0000 0.0000 0.5000 [4 per cell]  8 Re 2.94
Re: 0.2500 0.2500 0.2500 [8 per cell]  4 Ba 2.94, 4 Na 2.94

Entry 3:
A PBEsol-optimized structure of Ba3NaRh. Source: the Alexandria database, functional meta-GGA SCAN.

Unit cell a=6.0464 b=6.0464 c=6.0464 alpha=90.00 beta=90.00 gamma=90.00
Last column: nearest neighbours and their distance in Å.
Space group Pm-3m (No. 221)
Asymmetric unit:
Ba: 0.0000 0.0000 0.5000 [3 per cell]  2 Rh 3.02
Na: 0.5000 0.5000 0.5000 [1 per cell]  12 Ba 4.28
Rh: 0.0000 0.0000 0.0000 [1 per cell]  6 Ba 3.02

Entry 4:
A PBEsol-optimized structure of Ba2NaRh. Source: the Alexandria database, functional meta-GGA SCAN.

Unit cell a=7.8662 b=7.8662 c=7.8662 alpha=90.00 beta=90.00 gamma=90.00
Last column: nearest neighbours and their distance in Å.
Space group Fm-3m (No. 225)
Asymmetric unit:
Ba: 0.2500 0.2500 0.2500 [8 per cell]  4 Na 3.41, 4 Rh 3.41
Na: 0.0000 0.0000 0.0000 [4 per cell]  8 Ba 3.41
Rh: 0.0000 0.0000 0.5000 [4 per cell]  8 Ba 3.41

no.,DOS at the Fermi energy (states/eV per cell),formation energy (eV/atom)
1,3.7,1.25
2,20.7,2.37
3,4.2,-0.14
4,6.1,0.04